(1)
Crystalline Li3Pm3Si8 at its relaxed geometry. Source: Alexandria, functional GGA-PBE.

## Properties
* space group: Immm
* uncorrected formation energy: -0.385 eV per atom

Structure (POSCAR):
```
Li3Pm3Si8
1.0
3.856 0.000 0.000
1.928 8.904 1.251
1.928 3.627 8.227
Si Li Pm
8 3 3
direct
0.623 0.086 0.668
0.860 0.776 0.503
0.377 0.332 0.914
0.860 0.503 0.776
0.623 0.668 0.086
0.140 0.497 0.224
0.377 0.914 0.332
0.140 0.224 0.497
0.500 0.000 0.000
0.000 0.201 0.799
0.000 0.799 0.201
0.776 0.224 0.224
0.500 0.500 0.500
0.224 0.776 0.776
```

(2)
Crystalline Sm2Cd6In5 at its relaxed geometry. Source: Alexandria, functional GGA-PBE.

## Properties
* space group: R-3m
* E_form: 0.28 eV/atom

Structure (POSCAR):
```
Sm2Cd6In5
1.0
8.543 0.000 2.763
3.825 7.639 2.763
1.919 1.185 8.654
In Cd Sm
5 6 2
direct
0.577 0.577 0.268
0.423 0.423 0.732
0.719 0.719 0.843
0.281 0.281 0.157
0.000 0.000 0.000
0.500 0.180 0.500
0.180 0.500 0.500
0.180 0.820 0.500
0.500 0.820 0.500
0.820 0.180 0.500
0.820 0.500 0.500
0.860 0.860 0.421
0.140 0.140 0.579
```

(3)
Crystalline Ni4C2Br at its relaxed geometry. Source: Alexandria, functional GGA-PBE.

## Properties
* space group: I4/mmm
* uncorrected formation energy: 0.926 eV per atom

Structure (POSCAR):
```
Ni4C2Br
1.0
-0.583 -3.318 2.993
-2.281 -2.374 -3.076
2.608 -4.858 -1.485
Ni C Br
4 2 1
direct
0.245 0.245 0.510
0.755 0.755 0.490
0.500 0.000 0.000
0.000 0.500 0.000
0.431 0.431 0.139
0.569 0.569 0.861
0.000 0.000 0.000
```

(4)
Crystalline PmPrGa2 at its relaxed geometry. Source: Alexandria, functional GGA-PBE.

## Properties
* energy above the lowest structure with this stoichiometry: 0 meV/atom
* space group: Amm2
* E_form: -0.59 eV/atom

Structure (POSCAR):
```
PmPrGa2
1.0
-1.991 -3.741 1.446
1.464 -2.063 -3.322
5.664 0.504 2.184
Ga Pm Pr
2 1 1
direct
0.011 0.000 0.560
0.152 0.500 0.845
0.444 0.500 0.425
0.724 0.000 0.988
```

(5)
Crystalline SrY2Si at its relaxed geometry. Source: Alexandria, functional GGA-PBE.

## Properties
* space group: F-43m
* uncorrected formation energy: 0.185 eV per atom

Structure (POSCAR):
```
SrY2Si
1.0
5.427 0.000 0.000
2.713 4.700 0.000
2.713 1.567 4.431
Y Sr Si
2 1 1
direct
0.250 0.250 0.250
0.000 0.000 0.000
0.750 0.750 0.750
0.500 0.500 0.500
```

(6)
Crystalline Pu2ThMn9 at its relaxed geometry. Source: Alexandria, functional GGA-PBE.

## Properties
* space group: R-3m
* E_form: 0.10 eV/atom

Structure (POSCAR):
```
Pu2ThMn9
1.0
4.879 0.000 1.452
2.223 4.343 1.452
0.041 0.025 8.783
Mn Pu Th
9 2 1
direct
0.582 0.085 0.750
0.333 0.333 0.000
0.418 0.418 0.250
0.500 0.500 0.500
0.667 0.667 0.000
0.582 0.582 0.750
0.418 0.915 0.250
0.915 0.418 0.250
0.085 0.582 0.750
0.862 0.862 0.414
0.138 0.138 0.586
0.000 0.000 0.000
```

(7)
Crystalline Sm2Co3NiGe4 at its relaxed geometry. Source: Alexandria, functional GGA-PBE.

## Properties
* space group: P-4m2
* E_form: -0.59 eV/atom

Structure (POSCAR):
```
Sm2Co3NiGe4
1.0
-1.396 0.708 3.817
-1.204 -3.935 0.289
8.626 -2.375 3.596
Sm Ge Co Ni
2 4 3 1
direct
0.000 0.500 0.752
0.500 0.000 0.248
0.000 0.500 0.370
0.000 0.000 0.000
0.500 0.000 0.630
0.500 0.500 0.000
0.500 0.000 0.874
0.000 0.000 0.500
0.000 0.500 0.126
0.500 0.500 0.500
```

(8)
Crystalline Ce8ZnRh2 at its relaxed geometry. Source: Alexandria, functional GGA-PBE.

## Properties
* space group: C2/m
* E_form: -0.18 eV/atom

Structure (POSCAR):
```
Ce8ZnRh2
1.0
-1.109 -5.249 -4.775
6.193 1.776 -0.655
1.631 -2.907 5.552
Ce Rh Zn
8 2 1
direct
0.708 0.644 0.214
0.250 0.354 0.354
0.173 0.745 0.745
0.708 0.214 0.644
0.292 0.786 0.356
0.292 0.356 0.786
0.827 0.255 0.255
0.750 0.646 0.646
0.592 0.889 0.889
0.408 0.111 0.111
0.000 0.000 0.000
```

(9)
Crystalline TiCdHg at its relaxed geometry. Source: Alexandria, functional GGA-PBE.

## Properties
* space group: P3m1
* E_form: 0.11 eV/atom

Structure (POSCAR):
```
TiCdHg
1.0
3.096 0.000 0.000
-1.548 2.682 0.000
0.000 0.000 7.364
Cd Ti Hg
1 1 1
direct
0.333 0.667 0.657
0.667 0.333 0.330
0.000 0.000 0.012
```

(10)
Crystalline RbMg2NbRh at its relaxed geometry. Source: Alexandria, functional GGA-PBE.

## Properties
* space group: P4/mmm
* E_form: 0.36 eV/atom

Structure (POSCAR):
```
RbMg2NbRh
1.0
5.272 0.000 0.000
0.000 4.919 0.000
0.000 0.000 5.272
Rh Rb Mg Nb
1 1 2 1
direct
0.000 0.000 0.000
0.500 0.500 0.500
0.000 0.000 0.500
0.500 0.000 0.000
0.000 0.500 0.000
```

(11)
Crystalline NaCa2HfIn at its relaxed geometry. Source: Alexandria, functional GGA-PBE.

## Properties
* space group: P4/mmm
* E_form: 0.85 eV/atom

Structure (POSCAR):
```
NaCa2HfIn
1.0
5.424 0.000 0.000
0.000 5.244 0.000
0.000 0.000 5.424
Hf In Na Ca
1 1 1 2
direct
0.500 0.500 0.500
0.000 0.500 0.000
0.000 0.000 0.000
0.000 0.000 0.500
0.500 0.000 0.000
```

| no. | final energy (eV per atom) |
| --- | --- |
| 1 | -4.912 |
| 2 | -1.925 |
| 3 | -5.252 |
| 4 | -4.484 |
| 5 | -4.824 |
| 6 | -9.788 |
| 7 | -6.088 |
| 8 | -5.951 |
| 9 | -2.926 |
| 10 | -3.957 |
| 11 | -2.753 |